(1)
First-principles (PBE) data for an optimized crystal structure of PaBeCoH6, as listed in Alexandria.

Values from the calculation:
The calculation puts the total energy at -4.742 eV per atom. As for the total magnetization: 0.00 μB/cell.

a = 4.1523 Å, b = 4.1523 Å, c = 4.1861 Å
α = 90.00°, β = 90.00°, γ = 60.00°
Element x y z (fractional)
H: 0.5014 0.5014 0.7688
H: 0.9972 0.5014 0.7688
H: 0.5014 0.5014 0.2312
H: 0.9972 0.5014 0.2312
H: 0.5014 0.9972 0.2312
H: 0.5013 0.9972 0.7688
Pa: 0.0000 0.0000 0.0000
Be: 0.6666 0.6667 0.5000
Co: 0.3333 0.3333 0.5000

(2)
First-principles (PBE) data for an optimized crystal structure of K2RbAl3F12, as listed in Alexandria.

Values from the calculation:
The calculation puts the total energy at -5.389 eV per atom. The value obtained for the raw formation energy is -60.1 eV per formula unit. As for the total magnetization: 0.00 μB/cell.

a = 7.3549 Å, b = 7.3549 Å, c = 7.3549 Å
α = 58.23°, β = 58.23°, γ = 58.23°
Element x y z (fractional)
Al: 0.0000 0.5000 0.0000
Al: 0.5000 0.0000 0.0000
Al: 0.0000 0.0000 0.5000
K: 0.6298 0.6298 0.6298
K: 0.3702 0.3702 0.3702
F: 0.1209 0.5437 0.1209
F: 0.8791 0.4563 0.8791
F: 0.2771 0.9021 0.2771
F: 0.0979 0.7229 0.7229
F: 0.1209 0.1209 0.5437
F: 0.4563 0.8791 0.8791
F: 0.5437 0.1209 0.1209
F: 0.8791 0.8791 0.4563
F: 0.7229 0.0979 0.7229
F: 0.9021 0.2771 0.2771
F: 0.2771 0.2771 0.9021
F: 0.7229 0.7229 0.0979
Rb: 0.0000 0.0000 0.0000

(3)
First-principles (PBE) data for an optimized crystal structure of Zr2CCl, as listed in Alexandria.

Values from the calculation:
The calculation puts the total energy at -7.430 eV per atom. The value obtained for the raw formation energy is -1.6 eV per formula unit. As for the total magnetization: 0.00 μB/cell.

a = 5.5468 Å, b = 5.5468 Å, c = 6.5868 Å
α = 65.10°, β = 65.10°, γ = 90.00°
Element x y z (fractional)
Zr: 0.1927 0.6250 0.2500
Zr: 0.5573 0.1250 0.2500
Zr: 0.8750 0.8073 0.7500
Zr: 0.3750 0.4427 0.7500
C: 0.2500 0.7500 0.5000
C: 0.5000 0.5000 0.0000
Cl: 0.7500 0.2500 0.5000
Cl: 0.0000 0.0000 0.0000

(4)
First-principles (PBE) data for an optimized crystal structure of TiVAu2, as listed in Alexandria.

Values from the calculation:
As for the formation energy: -0.09 eV per atom. The calculation puts the total energy at -5.982 eV per atom. The value obtained for the energy above the most stable polymorph in this dataset is 0.232 eV per formula unit. As for the total magnetization: 3.45 μB/cell.

a = 3.3419 Å, b = 3.3419 Å, c = 6.1182 Å
α = 90.00°, β = 90.00°, γ = 90.00°
Element x y z (fractional)
Ti: 0.5000 0.5000 0.0000
V: 0.5000 0.5000 0.5000
Au: 0.0000 0.0000 0.2495
Au: 0.0000 0.0000 0.7505

(5)
First-principles (PBE) data for an optimized crystal structure of Sm7DyTh3, as listed in Alexandria.

Values from the calculation:
As for the formation energy: 0.17 eV per atom. The calculation puts the total energy at -5.280 eV per atom. As for the total magnetization: 0.00 μB/cell.

a = 6.7812 Å, b = 8.7660 Å, c = 6.5110 Å
α = 82.50°, β = 82.73°, γ = 101.41°
Element x y z (fractional)
Th: 0.0516 0.1654 0.8313
Th: 0.5000 0.0000 0.0000
Th: 0.9484 0.8346 0.1687
Sm: 0.2697 0.5753 0.9921
Sm: 0.7164 0.1443 0.4268
Sm: 0.2836 0.8557 0.5732
Sm: 0.7705 0.7974 0.6998
Sm: 0.2295 0.2026 0.3002
Sm: 0.0000 0.5000 0.5000
Sm: 0.7303 0.4247 0.0079
Dy: 0.5000 0.5000 0.5000

(6)
First-principles (PBE) data for an optimized crystal structure of Zr2TcSe, as listed in Alexandria.

Values from the calculation:
The calculation puts the total energy at -8.122 eV per atom. The value obtained for the raw formation energy is -1.5 eV per formula unit. As for the total magnetization: 0.00 μB/cell.

a = 5.7716 Å, b = 5.7716 Å, c = 5.7716 Å
α = 141.18°, β = 141.18°, γ = 56.07°
Element x y z (fractional)
Se: 0.5000 0.5000 0.0000
Zr: 0.0000 0.0000 0.0000
Zr: 0.2500 0.7500 0.5000
Tc: 0.7500 0.2500 0.5000

(7)
First-principles (PBE) data for an optimized crystal structure of Pa3GaS2O6, as listed in Alexandria.

Values from the calculation:
The calculation puts the total energy at -8.477 eV per atom. The value obtained for the raw formation energy is -32.2 eV per formula unit. As for the total magnetization: 0.00 μB/cell.

a = 5.5663 Å, b = 7.5019 Å, c = 7.3754 Å
α = 120.57°, β = 75.74°, γ = 90.00°
Element x y z (fractional)
O: 0.2401 0.2042 0.8158
O: 0.4022 0.1925 0.3850
O: 0.7599 0.3884 0.1842
O: 0.2401 0.6116 0.8158
O: 0.7599 0.7958 0.1842
O: 0.5978 0.8075 0.6150
S: 0.2112 0.6788 0.3576
S: 0.7888 0.3212 0.6424
Pa: 0.5000 0.5000 0.5000
Pa: 0.5000 0.0000 0.5000
Pa: 0.0000 0.5000 0.0000
Ga: 0.5000 0.0000 0.0000

(8)
First-principles (PBE) data for an optimized crystal structure of BePbN, as listed in Alexandria.

Values from the calculation:
The calculation puts the total energy at -5.456 eV per atom. The value obtained for the raw formation energy is -0.6 eV per formula unit. As for the total magnetization: 0.00 μB/cell.

a = 3.1057 Å, b = 5.5672 Å, c = 6.9591 Å
α = 110.83°, β = 102.89°, γ = 90.00°
Element x y z (fractional)
Be: 0.2527 0.8843 0.5053
Be: 0.7473 0.1157 0.4947
N: 0.2259 0.1685 0.4518
N: 0.7741 0.8315 0.5482
Pb: 0.0863 0.3020 0.1725
Pb: 0.9137 0.6980 0.8275

(9)
First-principles (PBE) data for an optimized crystal structure of Tm2ThPb, as listed in Alexandria.

Values from the calculation:
As for the formation energy: -0.21 eV per atom. The calculation puts the total energy at -5.225 eV per atom. The value obtained for the energy above the most stable polymorph in this dataset is 0.008 eV per formula unit. As for the total magnetization: 0.00 μB/cell.

a = 4.7442 Å, b = 4.9194 Å, c = 4.9194 Å
α = 90.00°, β = 90.00°, γ = 90.00°
Element x y z (fractional)
Th: 0.5000 0.5000 0.5000
Tm: 0.0000 0.5000 0.0000
Tm: 0.0000 0.0000 0.5000
Pb: 0.5000 0.0000 0.0000

(10)
First-principles (PBE) data for an optimized crystal structure of Pa6OsN12, as listed in Alexandria.

Values from the calculation:
The calculation puts the total energy at -10.166 eV per atom. The value obtained for the raw formation energy is -25.1 eV per formula unit. As for the total magnetization: 2.05 μB/cell.

a = 6.5296 Å, b = 6.5296 Å, c = 6.5296 Å
α = 98.58°, β = 98.58°, γ = 98.58°
Element x y z (fractional)
N: 0.1749 0.4364 0.5943
N: 0.9339 0.0511 0.6945
N: 0.0511 0.6945 0.9339
N: 0.4057 0.8251 0.5636
N: 0.5636 0.4057 0.8251
N: 0.3055 0.0661 0.9489
N: 0.6945 0.9339 0.0511
N: 0.0661 0.9489 0.3055
N: 0.9489 0.3055 0.0661
N: 0.8251 0.5636 0.4057
N: 0.5943 0.1749 0.4364
N: 0.4364 0.5943 0.1749
Pa: 0.1349 0.6011 0.2915
Pa: 0.8651 0.3989 0.7085
Pa: 0.6011 0.2915 0.1349
Pa: 0.2915 0.1349 0.6011
Pa: 0.3989 0.7085 0.8651
Pa: 0.7085 0.8651 0.3989
Os: 0.0000 0.0000 0.0000

(11)
First-principles (PBE) data for an optimized crystal structure of AlV2Pt2, as listed in Alexandria.

Values from the calculation:
As for the formation energy: -0.38 eV per atom. The calculation puts the total energy at -7.191 eV per atom. As for the total magnetization: 1.12 μB/cell.

a = 7.4853 Å, b = 7.4853 Å, c = 2.7614 Å
α = 90.00°, β = 90.00°, γ = 90.00°
Element x y z (fractional)
V: 0.8319 0.3319 0.5000
V: 0.1681 0.6681 0.5000
V: 0.6681 0.8319 0.5000
V: 0.3319 0.1681 0.5000
Pt: 0.1296 0.3704 0.0000
Pt: 0.8704 0.6296 0.0000
Pt: 0.3704 0.8704 0.0000
Pt: 0.6296 0.1296 0.0000
Al: 0.5000 0.5000 0.0000
Al: 0.0000 0.0000 0.0000